1.
The following is a PBE calculation of a relaxed structure of CeGeF5, from Alexandria via LeMat-Bulk.

Cell: 5.9439 6.1732 8.8788 Å, 71.46 70.93 76.14°
Closest atoms and distances in Å follow each position.
Atoms (fractional coordinates):
Ce 0.0000 0.0000 0.0000  6 F 2.26-2.39
Ce 0.0000 0.0000 0.5000  6 F 2.27-2.38
Ge 0.4820 0.5230 0.2486  4 F 1.95-2.15
Ge 0.5180 0.4770 0.7514  4 F 1.95-2.15
F 0.0822 0.9109 0.7517  2 Ce 2.31
F 0.2316 0.2850 0.3931  1 Ge 2.15, 1 Ce 2.27
F 0.2563 0.6713 0.1144  1 Ge 1.96
F 0.3130 0.7164 0.4001  1 Ge 1.95
F 0.3183 0.1952 0.8909  1 Ge 2.15, 1 Ce 2.26
F 0.6817 0.8048 0.1091  1 Ge 2.15, 1 Ce 2.26
F 0.6870 0.2836 0.5999  1 Ge 1.95
F 0.7437 0.3287 0.8856  1 Ge 1.96
F 0.7684 0.7150 0.6069  1 Ge 2.15, 1 Ce 2.27
F 0.9178 0.0891 0.2483  2 Ce 2.31

As for the total magnetization: 2.0 μB per cell. The space group is P-1, No. 2. The calculation puts the uncorrected formation energy at -3.14 eV/atom. As for the density: 3.5 g cm⁻³.



2.
The following is a PBE calculation of a relaxed structure of Ce2GeF, from Alexandria via LeMat-Bulk.

Cell: 6.5853 6.5853 6.5853 Å, 36.00 36.00 36.00°
Closest atoms and distances in Å follow each position.
Atoms (fractional coordinates):
Ce 0.2401 0.2401 0.2401  3 F 2.71, 3 Ge 2.91
Ce 0.7599 0.7599 0.7599  3 F 2.71, 3 Ge 2.91
Ge 0.0000 0.0000 0.0000  6 Ce 2.91
F 0.5000 0.5000 0.5000  6 Ce 2.71

As for the total magnetization: 1.5 μB per cell. The space group is R-3m, No. 166. The distance to the lowest polymorph of the same formula comes out at 0.000 eV/atom. The calculation puts the uncorrected formation energy at -1.54 eV/atom. As for the density: 7.0 g cm⁻³.



3.
The following is a PBE calculation of a relaxed structure of Ce2GeF, from Alexandria via LeMat-Bulk.

Cell: 8.6031 5.9540 7.4385 Å, 90.00 106.76 90.00°
Closest atoms and distances in Å follow each position.
Atoms (fractional coordinates):
Ce 0.1069 0.2239 0.0414  4 F 2.58-2.62
Ce 0.1069 0.2761 0.5414  4 F 2.58-2.62
Ce 0.3589 0.6356 0.2897  1 F 2.58
Ce 0.3589 0.8644 0.7897  1 F 2.58
Ce 0.6411 0.1356 0.2103  1 F 2.58
Ce 0.6411 0.3644 0.7103  1 F 2.58
Ce 0.8931 0.7239 0.4586  4 F 2.58-2.62
Ce 0.8931 0.7761 0.9586  4 F 2.58-2.62
Ge 0.3756 0.1353 0.4050  1 Ge 2.73, 3 Ce 2.90-3.04
Ge 0.3756 0.3647 0.9050  1 Ge 2.73, 3 Ce 2.90-3.04
Ge 0.6244 0.6353 0.0950  1 Ge 2.73, 3 Ce 2.90-3.04
Ge 0.6244 0.8647 0.5950  1 Ge 2.73, 3 Ce 2.90-3.04
F 0.0575 0.5446 0.2509  5 Ce 2.58-2.62
F 0.0575 0.9554 0.7509  5 Ce 2.58-2.62
F 0.9425 0.0446 0.2491  5 Ce 2.58-2.62
F 0.9425 0.4554 0.7491  5 Ce 2.58-2.62

As for the total magnetization: 10.2 μB per cell. The space group is P2_1/c, No. 14. The distance to the lowest polymorph of the same formula comes out at 0.065 eV/atom. The calculation puts the uncorrected formation energy at -1.48 eV/atom. As for the density: 6.8 g cm⁻³.



4.
The following is a PBE calculation of a relaxed structure of CeGe2F8, from Alexandria via LeMat-Bulk.

Cell: 7.7847 7.7847 4.8961 Å, 99.28 99.28 45.92°
Closest atoms and distances in Å follow each position.
Atoms (fractional coordinates):
Ce 0.0000 0.0000 0.0000  6 F 2.07-2.26
Ge 0.3010 0.3010 0.7628  3 F 1.82-2.00
Ge 0.6990 0.6990 0.2372  3 F 1.82-2.00
F 0.0856 0.0856 0.6995  1 Ce 2.07
F 0.1799 0.6293 0.8044  1 Ge 2.00
F 0.2895 0.2895 0.3860  1 Ge 1.82
F 0.3707 0.8201 0.1956  1 Ge 2.00
F 0.6293 0.1799 0.8044  1 Ge 2.00
F 0.7105 0.7105 0.6140  1 Ge 1.82
F 0.8201 0.3707 0.1956  1 Ge 2.00
F 0.9144 0.9144 0.3005  1 Ce 2.07

As for the total magnetization: 0.0 μB per cell. The space group is C2/m, No. 12. The distance to the lowest polymorph of the same formula comes out at 0.000 eV/atom. The calculation puts the uncorrected formation energy at -2.81 eV/atom. As for the density: 3.5 g cm⁻³.



5.
The following is a PBE calculation of a relaxed structure of Ce2GeF, from Alexandria via LeMat-Bulk.

Cell: 3.4051 3.4051 7.2288 Å, 90.00 90.00 90.00°
Closest atoms and distances in Å follow each position.
Atoms (fractional coordinates):
Ce 0.0000 0.0000 0.2428  4 F 2.98, 4 Ge 3.04
Ce 0.0000 0.0000 0.7572  4 F 2.98, 4 Ge 3.04
Ge 0.5000 0.5000 0.5000  8 Ce 3.04, 4 Ge 3.41
F 0.5000 0.5000 0.0000  8 Ce 2.98

As for the total magnetization: 3.0 μB per cell. The space group is P4/mmm, No. 123. The distance to the lowest polymorph of the same formula comes out at 0.271 eV/atom. The calculation puts the uncorrected formation energy at -1.27 eV/atom. As for the density: 7.4 g cm⁻³.



6.
The following is a PBE calculation of a relaxed structure of CeGeF6, from Alexandria via LeMat-Bulk.

Cell: 5.1356 5.1356 5.6454 Å, 96.00 96.00 113.38°
Closest atoms and distances in Å follow each position.
Atoms (fractional coordinates):
Ce 0.0000 0.0000 0.0000  6 F 2.19-2.21
Ge 0.5000 0.5000 0.5000  6 F 2.17-2.27
F 0.0987 0.4092 0.2356  1 Ce 2.21, 1 Ge 2.27
F 0.2381 0.2381 0.7362  1 Ge 2.17, 1 Ce 2.19
F 0.4092 0.0987 0.2356  1 Ce 2.21, 1 Ge 2.27
F 0.5908 0.9013 0.7644  1 Ce 2.21, 1 Ge 2.27
F 0.7619 0.7619 0.2638  1 Ge 2.17, 1 Ce 2.19
F 0.9013 0.5908 0.7644  1 Ce 2.21, 1 Ge 2.27

As for the total magnetization: 0.0 μB per cell. The space group is C2/m, No. 12. The calculation puts the uncorrected formation energy at -3.04 eV/atom. As for the density: 4.0 g cm⁻³.



7.
The following is a PBE calculation of a relaxed structure of CeGe2F8, from Alexandria via LeMat-Bulk.

Cell: 5.6980 5.6980 6.7492 Å, 92.27 92.27 55.85°
Closest atoms and distances in Å follow each position.
Atoms (fractional coordinates):
Ce 0.0000 0.0000 0.0000  6 F 2.09-2.34
Ge 0.2802 0.2802 0.3315  3 F 1.84-1.95
Ge 0.7198 0.7198 0.6685  3 F 1.84-1.95
F 0.0658 0.6082 0.8200  1 Ge 1.95
F 0.0931 0.0931 0.7291  1 Ce 2.09
F 0.3918 0.9342 0.1800  1 Ge 1.95
F 0.4109 0.4109 0.1490  1 Ge 1.84
F 0.5891 0.5891 0.8510  1 Ge 1.84
F 0.6082 0.0658 0.8200  1 Ge 1.95
F 0.9069 0.9069 0.2709  1 Ce 2.09
F 0.9342 0.3918 0.1800  1 Ge 1.95

As for the total magnetization: 0.1 μB per cell. The space group is C2/m, No. 12. The distance to the lowest polymorph of the same formula comes out at 0.059 eV/atom. The calculation puts the uncorrected formation energy at -2.75 eV/atom. As for the density: 4.0 g cm⁻³.



8.
The following is a PBE calculation of a relaxed structure of CeGeF6, from Alexandria via LeMat-Bulk.

Cell: 4.5468 4.5539 6.1444 Å, 93.47 93.83 111.57°
Closest atoms and distances in Å follow each position.
Atoms (fractional coordinates):
Ce 0.0000 0.0000 0.0000  8 F 2.19-2.38
Ge 0.3884 0.6057 0.4993  4 F 1.95-2.16
F 0.0260 0.5092 0.0878  2 Ce 2.31-2.37
F 0.1360 0.2557 0.7079  1 Ge 2.14, 1 Ce 2.20
F 0.3707 0.2386 0.3109  1 Ge 1.95
F 0.4898 0.9806 0.9124  2 Ce 2.31-2.36
F 0.7425 0.8552 0.2887  1 Ge 2.16, 1 Ce 2.19
F 0.7556 0.6287 0.6930  1 Ge 1.95

As for the total magnetization: 0.0 μB per cell. The space group is P1, No. 1. The calculation puts the uncorrected formation energy at -3.10 eV/atom. As for the density: 4.6 g cm⁻³.



9.
The following is a PBE calculation of a relaxed structure of CeGeO4F, from Alexandria via LeMat-Bulk.

Cell: 6.1136 6.1136 6.4241 Å, 98.54 98.54 70.91°
Closest atoms and distances in Å follow each position.
Atoms (fractional coordinates):
Ce 0.1939 0.1939 0.1139  3 O 2.12-2.26, 1 F 2.24
Ce 0.8061 0.8061 0.8861  3 O 2.12-2.26, 1 F 2.24
Ge 0.3404 0.3404 0.6872  4 O 1.73-1.84
Ge 0.6596 0.6596 0.3128  4 O 1.73-1.84
O 0.1395 0.5055 0.8670  1 Ge 1.77
O 0.2264 0.2264 0.4487  1 Ge 1.73
O 0.4887 0.4887 0.3821  1 O 1.49
O 0.4945 0.8605 0.1330  1 Ge 1.77
O 0.5055 0.1395 0.8670  1 Ge 1.77
O 0.5113 0.5113 0.6179  1 O 1.49
O 0.7736 0.7736 0.5513  1 Ge 1.73
O 0.8605 0.4945 0.1330  1 Ge 1.77
F 0.0334 0.0334 0.8195  2 Ce 2.24-2.38
F 0.9666 0.9666 0.1805  2 Ce 2.24-2.38

As for the total magnetization: 0.1 μB per cell. The space group is C2/m, No. 12. The calculation puts the uncorrected formation energy at -2.33 eV/atom. As for the density: 4.4 g cm⁻³.



10.
The following is a PBE calculation of a relaxed structure of CeZnGeF, from Alexandria via LeMat-Bulk.

Cell: 4.0518 4.0518 8.7758 Å, 90.00 90.00 90.00°
Closest atoms and distances in Å follow each position.
Atoms (fractional coordinates):
Ce 0.2500 0.2500 0.1827  4 F 2.58
Ce 0.7500 0.7500 0.8173  4 F 2.58
Zn 0.2500 0.7500 0.5000  4 Ge 2.59, 4 Zn 2.87
Zn 0.7500 0.2500 0.5000  4 Ge 2.59, 4 Zn 2.87
Ge 0.2500 0.2500 0.6842  4 Zn 2.59
Ge 0.7500 0.7500 0.3158  4 Zn 2.59
F 0.2500 0.7500 0.0000  4 Ce 2.58, 4 F 2.87
F 0.7500 0.2500 0.0000  4 Ce 2.58, 4 F 2.87

As for the total magnetization: 1.9 μB per cell. The space group is P4/nmm, No. 129. The calculation puts the uncorrected formation energy at -1.63 eV/atom. As for the density: 6.9 g cm⁻³.



11.
The following is a PBE calculation of a relaxed structure of CeH2F6, from Alexandria via LeMat-Bulk.

Cell: 6.5215 6.5215 5.3979 Å, 90.07 90.07 80.94°
Closest atoms and distances in Å follow each position.
Atoms (fractional coordinates):
Ce 0.1885 0.8115 0.7500  2 F 2.03
Ce 0.8115 0.1885 0.2500  2 F 2.03
H 0.1640 0.3393 0.5754  1 F 1.03
H 0.3393 0.1640 0.0754  1 F 1.03
H 0.6607 0.8360 0.9246  1 F 1.03
H 0.8360 0.6607 0.4246  1 F 1.03
F 0.0765 0.1703 0.5541  1 H 1.32
F 0.1629 0.6157 0.0358  1 Ce 2.03
F 0.1703 0.0765 0.0541  1 H 1.32
F 0.2273 0.4742 0.5657  1 H 1.03
F 0.3843 0.8371 0.4642  1 Ce 2.03
F 0.4742 0.2273 0.0657  1 H 1.03
F 0.5258 0.7727 0.9343  1 H 1.03
F 0.6157 0.1629 0.5358  1 Ce 2.03
F 0.7727 0.5258 0.4343  1 H 1.03
F 0.8297 0.9235 0.9459  1 H 1.32
F 0.8371 0.3843 0.9642  1 Ce 2.03
F 0.9235 0.8297 0.4459  1 H 1.32

As for the total magnetization: 0.0 μB per cell. The space group is C2/c, No. 15. The distance to the lowest polymorph of the same formula comes out at 0.008 eV/atom. As for the density: 3.8 g cm⁻³.



12.
The following is a PBE calculation of a relaxed structure of CeHF2, from Alexandria via LeMat-Bulk.

Cell: 3.3348 3.3348 4.6011 Å, 90.00 90.00 90.00°
Closest atoms and distances in Å follow each position.
Atoms (fractional coordinates):
Ce 0.0000 0.0000 0.0000  2 F 2.23-2.37
H 0.5000 0.5000 0.7784  1 F 2.09
F 0.0000 0.0000 0.5143  2 Ce 2.23-2.37
F 0.5000 0.5000 0.2318  1 H 2.09

As for the total magnetization: 1.0 μB per cell. The space group is P4mm, No. 99. The calculation puts the total energy at -22.0 eV for the cell shown. As for the density: 5.8 g cm⁻³.